# 1
The following is a PBE calculation of crystalline ErBeGa at its relaxed geometry, from Alexandria.

```
data_ErBeGa
_chemical_formula_sum 'Er4 Be4 Ga4'
_space_group_name_H-M_alt 'F -4 3 m'
_space_group_IT_number 216
_space_group_name_Hall 'F -4 2 3'
_cell_length_a 6.058
_cell_length_b 6.058
_cell_length_c 6.058
_cell_angle_alpha 90.00
_cell_angle_beta 90.00
_cell_angle_gamma 90.00
loop_
_atom_site_label
_atom_site_type_symbol
_atom_site_fract_x
_atom_site_fract_y
_atom_site_fract_z
_atom_site_occupancy
Er1 Er 0.000 0.000 0.000 1
Be1 Be 0.250 0.250 0.750 1
Ga1 Ga 0.000 0.000 0.500 1
```

Computed properties:
polymorph energy (0 for the lowest one) = 133 meV/atom
formation energy = -0.2875 eV/atom

***

# 2
The following is a PBE calculation of crystalline SrCoBr at its relaxed geometry, from Alexandria.

```
data_SrCoBr
_chemical_formula_sum 'Sr2 Co2 Br2'
_space_group_name_H-M_alt 'I 4 m m'
_space_group_IT_number 107
_space_group_name_Hall 'I 4 -2'
_cell_length_a 3.701
_cell_length_b 3.701
_cell_length_c 11.990
_cell_angle_alpha 90.00
_cell_angle_beta 90.00
_cell_angle_gamma 90.00
loop_
_atom_site_label
_atom_site_type_symbol
_atom_site_fract_x
_atom_site_fract_y
_atom_site_fract_z
_atom_site_occupancy
Sr1 Sr 0.000 0.000 0.000 1
Co1 Co 0.000 0.000 0.336 1
Br1 Br 0.000 0.000 0.657 1
```

Computed properties:
energy relative to the elements, uncorrected = -0.014 eV per atom

***

no.,density (g/cm3)
1,7.35
2,4.58